Compound: BaZrP2
Source: Alexandria
Functional: PBE
Structure: optimized geometry

Properties
Polymorph energy (0 for the lowest one)   0.000 eV/atom
DOS at the Fermi energy   0.69 states/eV/f.u.
ΔH_f (0 K)   -431 kJ/mol of formula units

Unit cell a=4.001 b=4.001 c=7.603 alpha=74.73 beta=74.73 gamma=60.02
Element x y z (fractional)
P 0.018 0.018 0.947
P 0.482 0.482 0.553
Ba 0.250 0.250 0.250
Zr 0.750 0.750 0.750